Entry from the Alexandria database: an optimized crystal structure of NpNi2O4 (PBE+U).

POSCAR file:
```
NpNi2O4
1.0
-2.871 -1.795 0.408
-0.798 0.139 -5.002
4.613 -3.669 2.072
Np Ni O
1 2 4
direct
0.000 0.000 0.000 Np
0.703 0.732 0.406 Ni
0.297 0.268 0.594 Ni
0.854 0.156 0.709 O
0.146 0.844 0.291 O
0.615 0.292 0.231 O
0.385 0.708 0.769 O
```

- SG: C2/m, No. 12
- Total energy: -7.15 eV per atom
- M_tot: 1.001 μB per atom